Version one
The following is a GGA-PBE calculation of crystalline Dy3YTh3 at its relaxed geometry, from the Alexandria database.

Results
Size of the total moment: 0.000 μB per cell

CIF file:
```
data_Dy3YTh3
_chemical_formula_sum 'Dy6 Y2 Th6'
_cell_length_a 9.5066
_cell_length_b 9.5066
_cell_length_c 5.8060
_cell_angle_alpha 90.00
_cell_angle_beta 90.00
_cell_angle_gamma 120.00
_symmetry_space_group_name_H-M 'P 63/m'
_symmetry_Int_Tables_number 176
_symmetry_space_group_name_Hall '-P 6c'
loop_
_atom_site_label
_atom_site_fract_x
_atom_site_fract_y
_atom_site_fract_z
Dy1 0.0426 0.2382 0.2500
Y1 0.3333 0.6667 0.2500
Th1 0.1033 0.4858 0.7500
```



Version two
The following is a GGA-PBE calculation of crystalline Dy3YTh3 at its relaxed geometry, from the Alexandria database.

Results
Size of the total moment: 0.000 μB per cell

CIF file:
```
data_Dy3YTh3
_chemical_formula_sum 'Dy6 Y2 Th6'
_cell_length_a 9.4649
_cell_length_b 9.4649
_cell_length_c 5.8450
_cell_angle_alpha 90.00
_cell_angle_beta 90.00
_cell_angle_gamma 120.00
_symmetry_space_group_name_H-M 'P 63/m'
_symmetry_Int_Tables_number 176
_symmetry_space_group_name_Hall '-P 6c'
loop_
_atom_site_label
_atom_site_fract_x
_atom_site_fract_y
_atom_site_fract_z
Dy1 0.0916 0.6218 0.2500
Y1 0.3333 0.6667 0.7500
Th1 0.0463 0.8127 0.7500
```



Least stable structure: version one



Version one
The following is a GGA-PBE calculation of crystalline DyY7Th3 at its relaxed geometry, from the Alexandria database.

Results
Size of the total moment: 0.000 μB per cell

CIF file:
```
data_DyY7Th3
_chemical_formula_sum 'Dy1 Y7 Th3'
_cell_length_a 6.460
_cell_length_b 6.723
_cell_length_c 8.698
_cell_angle_alpha 101.38
_cell_angle_beta 97.00
_cell_angle_gamma 96.79
_symmetry_space_group_name_H-M 'P -1'
_symmetry_Int_Tables_number 2
loop_
_symmetry_equiv_pos_as_xyz
'x,y,z'
'-x,-y,-z'
loop_
_atom_site_label
_atom_site_fract_x
_atom_site_fract_y
_atom_site_fract_z
Dy1 0.000 0.000 0.000
Y1 0.000 0.500 0.000
Y2 0.069 0.215 0.644
Y3 0.206 0.732 0.705
Y4 0.492 0.232 0.924
Th1 0.325 0.446 0.337
Th2 0.500 0.000 0.500
```



Version two
The following is a GGA-PBE calculation of crystalline DyY7Th3 at its relaxed geometry, from the Alexandria database.

Results
Size of the total moment: 0.000 μB per cell

CIF file:
```
data_DyY7Th3
_chemical_formula_sum 'Dy1 Y7 Th3'
_cell_length_a 7.1129
_cell_length_b 7.1129
_cell_length_c 8.5472
_cell_angle_alpha 90.00
_cell_angle_beta 90.00
_cell_angle_gamma 120.00
_symmetry_space_group_name_H-M 'P 3 m 1'
_symmetry_Int_Tables_number 156
loop_
_symmetry_equiv_pos_as_xyz
'x,y,z'
'-y,x-y,z'
'-x+y,-x,z'
'-y,-x,z'
'-x+y,y,z'
'x,x-y,z'
loop_
_atom_site_label
_atom_site_fract_x
_atom_site_fract_y
_atom_site_fract_z
Dy1 0.0000 0.0000 0.0000
Y1 0.0021 0.5011 0.9971
Y2 0.3309 0.1654 0.6571
Y3 0.3333 0.6667 0.6540
Th1 0.1666 0.3331 0.3265
```



Least stable structure: version two



Version one
The following is a GGA-PBE calculation of crystalline Dy2YTh3 at its relaxed geometry, from the Alexandria database.

Results
Size of the total moment: 0.000 μB per cell

CIF file:
```
data_Dy2YTh3
_chemical_formula_sum 'Dy8 Y4 Th12'
_cell_length_a 17.065
_cell_length_b 5.675
_cell_length_c 9.829
_cell_angle_alpha 90.00
_cell_angle_beta 125.06
_cell_angle_gamma 90.00
_symmetry_space_group_name_H-M 'C 1 2/m 1'
_symmetry_Int_Tables_number 12
loop_
_symmetry_equiv_pos_as_xyz
'x,y,z'
'-x,-y,-z'
'-x,y,-z'
'x,-y,z'
'x+1/2,y+1/2,z'
'-x+1/2,-y+1/2,-z'
'-x+1/2,y+1/2,-z'
'x+1/2,-y+1/2,z'
loop_
_atom_site_label
_atom_site_fract_x
_atom_site_fract_y
_atom_site_fract_z
Dy1 0.001 0.000 0.336
Dy2 0.249 0.500 0.412
Y1 0.126 0.500 0.620
Th1 0.005 0.500 0.844
Th2 0.122 0.000 0.125
Th3 0.249 0.000 0.921
```



Version two
The following is a GGA-PBE calculation of crystalline Dy2YTh3 at its relaxed geometry, from the Alexandria database.

Results
Size of the total moment: 0.000 μB per cell

CIF file:
```
data_Dy2YTh3
_chemical_formula_sum 'Dy8 Y4 Th12'
_cell_length_a 10.222
_cell_length_b 11.315
_cell_length_c 6.723
_cell_angle_alpha 90.00
_cell_angle_beta 90.00
_cell_angle_gamma 90.00
_symmetry_space_group_name_H-M 'C m c m'
_symmetry_Int_Tables_number 63
_symmetry_space_group_name_Hall '-C 2c 2'
loop_
_atom_site_label
_atom_site_fract_x
_atom_site_fract_y
_atom_site_fract_z
Dy1 0.166 0.229 0.250
Y1 0.000 0.269 0.750
Th1 0.000 0.000 0.000
Th2 0.167 0.500 0.000
```



Least stable structure: version two



Version one
The following is a GGA-PBE calculation of crystalline Dy3Y4Th at its relaxed geometry, from the Alexandria database.

Results
Size of the total moment: 0.000 μB per cell

CIF file:
```
data_Dy3Y4Th
_chemical_formula_sum 'Dy6 Y8 Th2'
_cell_length_a 23.407
_cell_length_b 3.456
_cell_length_c 6.742
_cell_angle_alpha 90.00
_cell_angle_beta 106.63
_cell_angle_gamma 90.00
_symmetry_space_group_name_H-M 'C 1 2/m 1'
_symmetry_Int_Tables_number 12
loop_
_symmetry_equiv_pos_as_xyz
'x,y,z'
'-x,-y,-z'
'-x,y,-z'
'x,-y,z'
'x+1/2,y+1/2,z'
'-x+1/2,-y+1/2,-z'
'-x+1/2,y+1/2,-z'
'x+1/2,-y+1/2,z'
loop_
_atom_site_label
_atom_site_fract_x
_atom_site_fract_y
_atom_site_fract_z
Dy1 0.000 0.000 0.000
Dy2 0.123 0.000 0.863
Y1 0.124 0.000 0.383
Y2 0.241 0.500 0.744
Th1 0.000 0.500 0.500
```



Version two
The following is a GGA-PBE calculation of crystalline Dy3Y4Th at its relaxed geometry, from the Alexandria database.

Results
Size of the total moment: 0.831 μB per cell

CIF file:
```
data_Dy3Y4Th
_chemical_formula_sum 'Dy6 Y8 Th2'
_cell_length_a 11.785
_cell_length_b 13.302
_cell_length_c 3.382
_cell_angle_alpha 90.00
_cell_angle_beta 90.00
_cell_angle_gamma 90.00
_symmetry_space_group_name_H-M 'C m m m'
_symmetry_Int_Tables_number 65
_symmetry_space_group_name_Hall '-C 2 2'
loop_
_atom_site_label
_atom_site_fract_x
_atom_site_fract_y
_atom_site_fract_z
Dy1 0.000 0.000 0.000
Dy2 0.250 0.250 0.500
Y1 0.000 0.249 0.000
Y2 0.244 0.500 0.500
Th1 0.000 0.500 0.000
```



Least stable structure: version two



Version one
The following is a GGA-PBE calculation of crystalline Dy5YTh2 at its relaxed geometry, from the Alexandria database.

Results
Size of the total moment: 0.000 μB per cell

CIF file:
```
data_Dy5YTh2
_chemical_formula_sum 'Dy10 Y2 Th4'
_cell_length_a 3.524
_cell_length_b 11.155
_cell_length_c 13.200
_cell_angle_alpha 90.00
_cell_angle_beta 90.00
_cell_angle_gamma 90.00
_symmetry_space_group_name_H-M 'I m m m'
_symmetry_Int_Tables_number 71
_symmetry_space_group_name_Hall '-I 2 2'
loop_
_atom_site_label
_atom_site_fract_x
_atom_site_fract_y
_atom_site_fract_z
Dy1 0.000 0.000 0.000
Dy2 0.000 0.266 0.369
Y1 0.000 0.500 0.000
Th1 0.000 0.000 0.257
```



Version two
The following is a GGA-PBE calculation of crystalline Dy5YTh2 at its relaxed geometry, from the Alexandria database.

Results
Size of the total moment: 0.000 μB per cell

CIF file:
```
data_Dy5YTh2
_chemical_formula_sum 'Dy20 Y4 Th8'
_cell_length_a 6.550
_cell_length_b 13.254
_cell_length_c 11.933
_cell_angle_alpha 90.00
_cell_angle_beta 90.00
_cell_angle_gamma 90.00
_symmetry_space_group_name_H-M 'I m m a'
_symmetry_Int_Tables_number 74
_symmetry_space_group_name_Hall '-I 2b 2'
loop_
_atom_site_label
_atom_site_fract_x
_atom_site_fract_y
_atom_site_fract_z
Dy1 0.000 0.119 0.032
Dy2 0.000 0.250 0.512
Dy3 0.250 0.015 0.750
Y1 0.000 0.250 0.793
Th1 0.000 0.000 0.500
Th2 0.250 0.250 0.250
```



Least stable structure: version two



Version one
The following is a GGA-PBE calculation of crystalline Dy2YTh2 at its relaxed geometry, from the Alexandria database.

Results
Size of the total moment: 0.000 μB per cell

CIF file:
```
data_Dy2YTh2
_chemical_formula_sum 'Dy8 Y4 Th8'
_cell_length_a 14.619
_cell_length_b 7.129
_cell_length_c 6.199
_cell_angle_alpha 90.00
_cell_angle_beta 98.19
_cell_angle_gamma 90.00
_symmetry_space_group_name_H-M 'P 1 21/c 1'
_symmetry_Int_Tables_number 14
loop_
_symmetry_equiv_pos_as_xyz
'x,y,z'
'-x,-y,-z'
'-x,y+1/2,-z+1/2'
'x,-y+1/2,z+1/2'
loop_
_atom_site_label
_atom_site_fract_x
_atom_site_fract_y
_atom_site_fract_z
Dy1 0.098 0.124 0.450
Dy2 0.304 0.123 0.853
Y1 0.302 0.627 0.850
Th1 0.098 0.629 0.451
Th2 0.500 0.124 0.252
```



Version two
The following is a GGA-PBE calculation of crystalline Dy2YTh2 at its relaxed geometry, from the Alexandria database.

Results
Size of the total moment: 0.000 μB per cell

CIF file:
```
data_Dy2YTh2
_chemical_formula_sum 'Dy4 Y2 Th4'
_cell_length_a 9.532
_cell_length_b 9.532
_cell_length_c 3.621
_cell_angle_alpha 90.00
_cell_angle_beta 90.00
_cell_angle_gamma 90.00
_symmetry_space_group_name_H-M 'P 4/m b m'
_symmetry_Int_Tables_number 127
_symmetry_space_group_name_Hall '-P 4 2ab'
loop_
_atom_site_label
_atom_site_fract_x
_atom_site_fract_y
_atom_site_fract_z
Dy1 0.125 0.375 0.000
Y1 0.000 0.000 0.000
Th1 0.173 0.673 0.500
```



Least stable structure: version two